Model A:
## TlSiSb (SCAN)

Data for a crystal of TlSiSb relaxed with PBEsol.

Cell lengths 6.838, 6.838, 6.838 Å; angles 90.00, 90.00, 90.00 degrees
Space group F-43m (No. 216)
Asymmetric unit:
1 Tl 0.000 0.000 0.000
2 Si 0.250 0.250 0.750
3 Sb 0.000 0.000 0.500

For the density of states at the Fermi level, the calculation gives 1.36 states/eV/f.u.

Model B:
## TlSiSb (SCAN)

Data for a crystal of TlSiSb relaxed with PBEsol.

Cell lengths 6.928, 6.928, 6.928 Å; angles 90.00, 90.00, 90.00 degrees
Space group F-43m (No. 216)
Asymmetric unit:
1 Tl 0.000 0.000 0.000
2 Si 0.250 0.250 0.250
3 Sb 0.250 0.250 0.750

For the density of states at the Fermi level, the calculation gives 2.35 states/eV/f.u.

Stability summary - winner: model A; margin: 342 meV/atom.

Model A:
## Y2SiSb (SCAN)

Data for a crystal of Y2SiSb relaxed with PBEsol.

Cell lengths 4.769, 4.769, 8.177 Å; angles 90.00, 90.00, 90.00 degrees
Space group I4/mmm (No. 139)
Asymmetric unit:
1 Y 0.000 0.500 0.250
2 Si 0.000 0.000 0.000
3 Sb 0.000 0.000 0.500

For the density of states at the Fermi level, the calculation gives 2.09 states/eV/f.u.

Model B:
## Y2SiSb (SCAN)

Data for a crystal of Y2SiSb relaxed with PBEsol.

Cell lengths 10.947, 4.182, 4.169 Å; angles 90.00, 93.00, 90.00 degrees
Space group Cm (No. 8)
Asymmetric unit:
1 Y 0.000 0.000 0.000
2 Y 0.227 0.500 0.506
3 Si 0.260 0.000 0.014
4 Sb 0.448 0.000 0.491

For the density of states at the Fermi level, the calculation gives 1.47 states/eV/f.u.

Stability summary - winner: model B; margin: 244 meV/atom.

Model A:
## ZnSi2Sb (SCAN)

Data for a crystal of ZnSi2Sb relaxed with PBEsol.

Cell lengths 3.0677, 3.0677, 26.9652 Å; angles 90.00, 90.00, 120.00 degrees
Space group R-3m (No. 166, hexagonal axes)
Asymmetric unit:
1 Zn 0.0000 0.0000 0.0000
2 Si 0.0000 0.0000 0.2620
3 Sb 0.0000 0.0000 0.5000

For the density of states at the Fermi level, the calculation gives 1.74 states/eV/f.u.

Model B:
## ZnSi2Sb (SCAN)

Data for a crystal of ZnSi2Sb relaxed with PBEsol.

Cell lengths 3.439, 3.439, 6.908 Å; angles 90.00, 90.00, 90.00 degrees
Space group P4mm (No. 99)
Asymmetric unit:
1 Zn 0.000 0.000 0.000
2 Si 0.000 0.000 0.658
3 Si 0.500 0.500 0.579
4 Sb 0.500 0.500 0.202

For the density of states at the Fermi level, the calculation gives 1.11 states/eV/f.u.

Stability summary - winner: model B; margin: 354 meV/atom.

Model A:
## Zn2SiSb (SCAN)

Data for a crystal of Zn2SiSb relaxed with PBEsol.

Cell lengths 3.427, 3.427, 6.141 Å; angles 90.00, 90.00, 90.00 degrees
Space group P4mm (No. 99)
Asymmetric unit:
1 Zn 0.000 0.000 0.000
2 Zn 0.500 0.500 0.228
3 Si 0.500 0.500 0.815
4 Sb 0.000 0.000 0.505

For the density of states at the Fermi level, the calculation gives 1.59 states/eV/f.u.

Model B:
## Zn2SiSb (SCAN)

Data for a crystal of Zn2SiSb relaxed with PBEsol.

Cell lengths 3.582, 3.792, 10.896 Å; angles 90.00, 90.00, 90.00 degrees
Space group Imm2 (No. 44)
Asymmetric unit:
1 Zn 0.000 0.000 0.000
2 Zn 0.000 0.500 0.171
3 Si 0.000 0.000 0.491
4 Sb 0.000 0.500 0.792

For the density of states at the Fermi level, the calculation gives 1.34 states/eV/f.u.

Stability summary - winner: model B; margin: 122 meV/atom.

Model A:
## Sn2Sb2Te (SCAN)

Data for a crystal of Sn2Sb2Te relaxed with PBEsol.

Cell lengths 4.268, 4.268, 15.528 Å; angles 90.00, 90.00, 90.00 degrees
Space group I4/mmm (No. 139)
Asymmetric unit:
1 Sn 0.000 0.500 0.250
2 Sb 0.000 0.000 0.098
3 Te 0.000 0.000 0.500

For the density of states at the Fermi level, the calculation gives 1.79 states/eV/f.u.

Model B:
## Sn2Sb2Te (SCAN)

Data for a crystal of Sn2Sb2Te relaxed with PBEsol.

Cell lengths 4.244, 4.244, 16.161 Å; angles 90.00, 90.00, 90.00 degrees
Space group I4/mmm (No. 139)
Asymmetric unit:
1 Sn 0.000 0.000 0.095
2 Sb 0.000 0.500 0.250
3 Te 0.000 0.000 0.500

For the density of states at the Fermi level, the calculation gives 2.49 states/eV/f.u.

Stability summary - winner: model B; margin: 67 meV/atom.

Model A:
## SrTaSb2 (SCAN)

Data for a crystal of SrTaSb2 relaxed with PBEsol.

Cell lengths 6.590, 7.829, 3.727 Å; angles 90.00, 90.00, 90.00 degrees
Space group Cmmm (No. 65)
Asymmetric unit:
1 Sr 0.000 0.000 0.000
2 Ta 0.000 0.500 0.000
3 Sb 0.250 0.250 0.500

For the density of states at the Fermi level, the calculation gives 3.14 states/eV/f.u.

Model B:
## SrTaSb2 (SCAN)

Data for a crystal of SrTaSb2 relaxed with PBEsol.

Cell lengths 5.084, 5.084, 3.734 Å; angles 90.00, 90.00, 90.00 degrees
Space group P4/mmm (No. 123)
Asymmetric unit:
1 Sr 0.000 0.000 0.000
2 Ta 0.500 0.500 0.000
3 Sb 0.000 0.500 0.500

For the density of states at the Fermi level, the calculation gives 3.35 states/eV/f.u.

Stability summary - winner: model A; margin: 26 meV/atom.

Model A:
## Ta3Sb (SCAN)

Data for a crystal of Ta3Sb relaxed with PBEsol.

Cell lengths 5.238, 5.238, 5.238 Å; angles 90.00, 90.00, 90.00 degrees
Space group Pm-3n (No. 223)
Asymmetric unit:
1 Ta 0.000 0.250 0.500
2 Sb 0.000 0.000 0.000

For the density of states at the Fermi level, the calculation gives 1.49 states/eV/f.u.

Model B:
## Ta3Sb (SCAN)

Data for a crystal of Ta3Sb relaxed with PBEsol.

Cell lengths 3.522, 4.566, 9.064 Å; angles 90.00, 90.00, 90.00 degrees
Space group Immm (No. 71)
Asymmetric unit:
1 Ta 0.000 0.000 0.000
2 Ta 0.000 0.500 0.260
3 Sb 0.000 0.000 0.500

For the density of states at the Fermi level, the calculation gives 1.62 states/eV/f.u.

Stability summary - winner: model A; margin: 102 meV/atom.

Model A:
## Ta3Sb (SCAN)

Data for a crystal of Ta3Sb relaxed with PBEsol.

Cell lengths 3.510, 3.510, 5.963 Å; angles 90.00, 90.00, 90.00 degrees
Space group P4/mmm (No. 123)
Asymmetric unit:
1 Ta 0.000 0.000 0.000
2 Ta 0.500 0.500 0.243
3 Sb 0.000 0.000 0.500

For the density of states at the Fermi level, the calculation gives 2.12 states/eV/f.u.

Model B:
## Ta3Sb (SCAN)

Data for a crystal of Ta3Sb relaxed with PBEsol.

Cell lengths 3.467, 4.893, 8.804 Å; angles 90.00, 90.00, 90.00 degrees
Space group Cmmm (No. 65)
Asymmetric unit:
1 Ta 0.000 0.000 0.000
2 Ta 0.000 0.500 0.247
3 Sb 0.000 0.000 0.500

For the density of states at the Fermi level, the calculation gives 2.03 states/eV/f.u.

Stability summary - winner: model A; margin: 142 meV/atom.

Model A:
## TaSb3 (SCAN)

Data for a crystal of TaSb3 relaxed with PBEsol.

Cell lengths 9.9756, 9.9756, 3.1577 Å; angles 90.00, 90.00, 120.00 degrees
Space group R-3m (No. 166, hexagonal axes)
Asymmetric unit:
1 Ta 0.0000 0.0000 0.0000
2 Sb 0.0000 0.5000 0.0000

For the density of states at the Fermi level, the calculation gives 2.84 states/eV/f.u.

Model B:
## TaSb3 (SCAN)

Data for a crystal of TaSb3 relaxed with PBEsol.

Cell lengths 3.813, 4.883, 10.221 Å; angles 90.00, 90.00, 90.00 degrees
Space group Cmmm (No. 65)
Asymmetric unit:
1 Ta 0.000 0.000 0.000
2 Sb 0.000 0.000 0.500
3 Sb 0.000 0.500 0.208

For the density of states at the Fermi level, the calculation gives 2.16 states/eV/f.u.

Stability summary - winner: model B; margin: 387 meV/atom.

Model A:
## TaTlSb2 (SCAN)

Data for a crystal of TaTlSb2 relaxed with PBEsol.

Cell lengths 3.150, 3.603, 8.489 Å; angles 90.00, 90.00, 90.00 degrees
Space group Pmmm (No. 47)
Asymmetric unit:
1 Ta 0.000 0.000 0.000
2 Tl 0.000 0.000 0.500
3 Sb 0.500 0.500 0.201

For the density of states at the Fermi level, the calculation gives 2.80 states/eV/f.u.

Model B:
## TaTlSb2 (SCAN)

Data for a crystal of TaTlSb2 relaxed with PBEsol.

Cell lengths 4.289, 4.289, 9.954 Å; angles 90.00, 90.00, 90.00 degrees
Space group I-4m2 (No. 119)
Asymmetric unit:
1 Ta 0.000 0.000 0.000
2 Tl 0.000 0.500 0.250
3 Sb 0.000 0.000 0.500
4 Sb 0.000 0.500 0.750

For the density of states at the Fermi level, the calculation gives 3.03 states/eV/f.u.

Model C:
## TaTlSb2 (SCAN)

Data for a crystal of TaTlSb2 relaxed with PBEsol.

Cell lengths 7.167, 7.167, 7.167 Å; angles 90.00, 90.00, 90.00 degrees
Space group F-43m (No. 216)
Asymmetric unit:
1 Ta 0.000 0.000 0.000
2 Tl 0.250 0.250 0.750
3 Sb 0.000 0.000 0.500
4 Sb 0.250 0.250 0.250

For the density of states at the Fermi level, the calculation gives 3.22 states/eV/f.u.

Stability summary - winner: model A; margin: 579 meV/atom.

Model A:
## Ta2ZnSb (SCAN)

Data for a crystal of Ta2ZnSb relaxed with PBEsol.

Cell lengths 3.587, 4.441, 8.835 Å; angles 90.00, 90.00, 90.00 degrees
Space group Imm2 (No. 44)
Asymmetric unit:
1 Ta 0.000 0.000 0.000
2 Ta 0.000 0.500 0.257
3 Zn 0.000 0.500 0.750
4 Sb 0.000 0.000 0.500

For the density of states at the Fermi level, the calculation gives 2.95 states/eV/f.u.

Model B:
## Ta2ZnSb (SCAN)

Data for a crystal of Ta2ZnSb relaxed with PBEsol.

Cell lengths 3.615, 4.624, 9.322 Å; angles 90.00, 90.00, 90.00 degrees
Space group Cmm2 (No. 35)
Asymmetric unit:
1 Ta 0.000 0.000 0.000
2 Ta 0.000 0.500 0.232
3 Zn 0.000 0.000 0.442
4 Sb 0.000 0.500 0.760

For the density of states at the Fermi level, the calculation gives 2.01 states/eV/f.u.

Stability summary - winner: model A; margin: 13 meV/atom.

Model A:
## TcSb3 (SCAN)

Data for a crystal of TcSb3 relaxed with PBEsol.

Cell lengths 3.218, 3.218, 8.523 Å; angles 90.00, 90.00, 90.00 degrees
Space group P4/mmm (No. 123)
Asymmetric unit:
1 Tc 0.000 0.000 0.000
2 Sb 0.000 0.000 0.500
3 Sb 0.500 0.500 0.189

For the density of states at the Fermi level, the calculation gives 2.12 states/eV/f.u.

Model B:
## TcSb3 (SCAN)

Data for a crystal of TcSb3 relaxed with PBEsol.

Cell lengths 6.658, 8.125, 6.490 Å; angles 90.00, 90.00, 90.00 degrees
Space group Pnma (No. 62)
Asymmetric unit:
1 Tc 0.160 0.250 0.020
2 Sb 0.028 0.250 0.627
3 Sb 0.179 0.570 0.853

For the density of states at the Fermi level, the calculation gives 0.98 states/eV/f.u.

Stability summary - winner: model B; margin: 114 meV/atom.

Model A:
## TcSb2 (SCAN)

Data for a crystal of TcSb2 relaxed with PBEsol.

Cell lengths 13.843, 3.272, 6.461 Å; angles 90.00, 117.65, 90.00 degrees
Space group C2/m (No. 12)
Asymmetric unit:
1 Tc 0.241 0.000 0.173
2 Sb 0.083 0.500 0.893
3 Sb 0.142 0.000 0.457

For the density of states at the Fermi level, the calculation gives 1.21 states/eV/f.u.

Model B:
## TcSb2 (SCAN)

Data for a crystal of TcSb2 relaxed with PBEsol.

Cell lengths 3.190, 3.190, 12.534 Å; angles 90.00, 90.00, 90.00 degrees
Space group I4/mmm (No. 139)
Asymmetric unit:
1 Tc 0.000 0.000 0.000
2 Sb 0.000 0.000 0.370

For the density of states at the Fermi level, the calculation gives 1.72 states/eV/f.u.

Model C:
## TcSb2 (SCAN)

Data for a crystal of TcSb2 relaxed with PBEsol.

Cell lengths 3.219, 3.219, 24.694 Å; angles 90.00, 90.00, 90.00 degrees
Space group I4_1/amd (No. 141, origin choice 2)
Asymmetric unit:
1 Tc 0.000 0.250 0.375
2 Sb 0.000 0.250 0.810

For the density of states at the Fermi level, the calculation gives 1.53 states/eV/f.u.

Model D:
## TcSb2 (SCAN)

Data for a crystal of TcSb2 relaxed with PBEsol.

Cell lengths 6.294, 6.294, 5.980 Å; angles 90.00, 90.00, 90.00 degrees
Space group I4/mcm (No. 140)
Asymmetric unit:
1 Tc 0.000 0.000 0.250
2 Sb 0.162 0.338 0.000

For the density of states at the Fermi level, the calculation gives 1.73 states/eV/f.u.

Stability summary - winner: model A; margin: 56 meV/atom.